# SmZr4Sc8

A relaxed structure of SmZr4Sc8 (GGA-PBE, the Alexandria database).

Cell lengths 10.2955, 10.2955, 10.2955 Å; angles 36.19, 36.19, 36.19 degrees
Sites, in units of the cell vectors:
Sm: 0.0000 0.0000 0.0000
Zr: 0.0000 0.0000 0.5000
Zr: 0.0000 0.5000 0.0000
Zr: 0.5000 0.0000 0.0000
Zr: 0.5000 0.5000 0.5000
Sc: 0.0739 0.5686 0.5686
Sc: 0.0921 0.0921 0.0921
Sc: 0.4314 0.4314 0.9261
Sc: 0.4314 0.9261 0.4314
Sc: 0.5686 0.0739 0.5686
Sc: 0.5686 0.5686 0.0739
Sc: 0.9079 0.9079 0.9079
Sc: 0.9261 0.4314 0.4314

## Properties
- SG: R-3m (166)
- Calculated total energy: -6.64 eV/atom

=====

# AsP2Br

A relaxed structure of AsP2Br (GGA-PBE, the Alexandria database).

Cell lengths 3.3978, 7.1857, 9.1411 Å; angles 90.00, 90.00, 90.00 degrees
Sites, in units of the cell vectors:
As: 0.0000 0.0000 0.0000
As: 0.5000 0.5000 0.0000
P: 0.0000 0.0000 0.3588
P: 0.0000 0.5000 0.2112
P: 0.5000 0.0000 0.2112
P: 0.5000 0.5000 0.3588
Br: 0.0000 0.5000 0.7894
Br: 0.5000 0.0000 0.7894

## Properties
- SG: Cmm2 (35)
- E above lowest polymorph: 6.61 kcal/mol of atoms

=====

# Tb2Y3Cd4

A relaxed structure of Tb2Y3Cd4 (GGA-PBE, the Alexandria database).

Cell lengths 9.9574, 9.9574, 8.0591 Å; angles 90.00, 90.00, 140.27 degrees
Sites, in units of the cell vectors:
Tb: 0.0920 0.9080 0.9012
Tb: 0.4080 0.5920 0.4012
Tb: 0.5920 0.4080 0.5988
Tb: 0.9080 0.0920 0.0988
Y: 0.0000 0.0000 0.5000
Y: 0.0048 0.4952 0.7500
Y: 0.4952 0.0048 0.2500
Y: 0.5000 0.5000 0.0000
Y: 0.5048 0.9952 0.7500
Y: 0.9952 0.5048 0.2500
Cd: 0.1600 0.8400 0.5190
Cd: 0.1742 0.3258 0.7500
Cd: 0.3258 0.1742 0.2500
Cd: 0.3400 0.6600 0.0190
Cd: 0.6600 0.3400 0.9810
Cd: 0.6742 0.8258 0.7500
Cd: 0.8258 0.6742 0.2500
Cd: 0.8400 0.1600 0.4810

## Properties
- SG: Cmce (64)
- Calculated total energy: -3.75 eV/atom

=====

# Cs2SiI5Cl

A relaxed structure of Cs2SiI5Cl (GGA-PBE, the Alexandria database).

Cell lengths 8.2419, 8.2419, 8.2419 Å; angles 119.91, 119.91, 90.15 degrees
Sites, in units of the cell vectors:
Cs: 0.0000 0.5000 0.5000
Cs: 0.5000 0.0000 0.5000
Si: 0.2540 0.2540 0.0000
I: 0.0200 0.0200 0.5357
I: 0.0200 0.4843 0.0000
I: 0.0205 0.0205 0.0000
I: 0.4843 0.0200 0.0000
I: 0.4843 0.4843 0.4643
Cl: 0.4437 0.4437 0.0000

## Properties
- SG: I4mm (107)
- Calculated total energy: -2.78 eV/atom

=====

# UGaCoRe

A relaxed structure of UGaCoRe (GGA-PBE, the Alexandria database).

Cell lengths 6.3881, 6.3881, 6.3881 Å; angles 90.00, 90.00, 90.00 degrees
Sites, in units of the cell vectors:
U: 0.0000 0.0000 0.0000
U: 0.0000 0.5000 0.5000
U: 0.5000 0.0000 0.5000
U: 0.5000 0.5000 0.0000
Ga: 0.0000 0.0000 0.5000
Ga: 0.0000 0.5000 0.0000
Ga: 0.5000 0.0000 0.0000
Ga: 0.5000 0.5000 0.5000
Co: 0.2500 0.2500 0.2500
Co: 0.2500 0.7500 0.7500
Co: 0.7500 0.2500 0.7500
Co: 0.7500 0.7500 0.2500
Re: 0.2500 0.2500 0.7500
Re: 0.2500 0.7500 0.2500
Re: 0.7500 0.2500 0.2500
Re: 0.7500 0.7500 0.7500

## Properties
- SG: F-43m (216)
- Calculated total energy: -8.42 eV/atom

=====

# Nd2Zr8O19

A relaxed structure of Nd2Zr8O19 (GGA-PBE, the Alexandria database).

Cell lengths 3.6505, 3.7077, 26.9739 Å; angles 90.00, 90.00, 90.00 degrees
Sites, in units of the cell vectors:
Nd: 0.0000 0.0000 0.0000
Nd: 0.5000 0.5000 0.1231
Zr: 0.0000 0.0000 0.2225
Zr: 0.0000 0.0000 0.4178
Zr: 0.0000 0.0000 0.6130
Zr: 0.0000 0.0000 0.8068
Zr: 0.5000 0.5000 0.3206
Zr: 0.5000 0.5000 0.5159
Zr: 0.5000 0.5000 0.7106
Zr: 0.5000 0.5000 0.9029
O: 0.0000 0.5000 0.0630
O: 0.0000 0.5000 0.1842
O: 0.0000 0.5000 0.2821
O: 0.0000 0.5000 0.3803
O: 0.0000 0.5000 0.4778
O: 0.0000 0.5000 0.5753
O: 0.0000 0.5000 0.6715
O: 0.0000 0.5000 0.7669
O: 0.0000 0.5000 0.8598
O: 0.0000 0.5000 0.9519
O: 0.5000 0.0000 0.1653
O: 0.5000 0.0000 0.2618
O: 0.5000 0.0000 0.3589
O: 0.5000 0.0000 0.4568
O: 0.5000 0.0000 0.5545
O: 0.5000 0.0000 0.6529
O: 0.5000 0.0000 0.7511
O: 0.5000 0.0000 0.8503
O: 0.5000 0.0000 0.9490

## Properties
- SG: Pmm2 (25)
- Calculated total energy: -9.19 eV/atom